[1]
# CsAlAuO2, relaxed, DFT GGA-PBE
# M_tot: 0.00 μB/f.u.
# D(E_F): 0.83 states/eV/atom
# Uncorrected formation energy: -362 kJ/mol of formula units
# Theoretical density: 7.38 g cm⁻³
data_CsAlAuO2
_space_group_name_H-M_alt 'P 4/m m m'
_space_group_IT_number 123
_space_group_name_Hall '-P 4 2'
_cell_length_a 4.0667
_cell_length_b 4.0667
_cell_length_c 5.2927
_cell_angle_alpha 90.00
_cell_angle_beta 90.00
_cell_angle_gamma 90.00
loop_
_atom_site_label
_atom_site_type_symbol
_atom_site_fract_x
_atom_site_fract_y
_atom_site_fract_z
Cs1 Cs 0.0000 0.0000 0.0000
Al1 Al 0.5000 0.5000 0.5000
Au1 Au 0.5000 0.5000 0.0000
O1 O 0.0000 0.5000 0.5000

[2]
# Pa2TaS, relaxed, DFT GGA-PBE
# M_tot: 0.00 μB/f.u.
# D(E_F): 1.50 states/eV/atom
# Uncorrected formation energy: -116 kJ/mol of formula units
# Theoretical density: 12.97 g cm⁻³
data_Pa2TaS
_space_group_name_H-M_alt 'R -3 m'
_space_group_IT_number 166
_space_group_name_Hall '-R 3 2"'
_cell_length_a 3.2542
_cell_length_b 3.2542
_cell_length_c 28.2682
_cell_angle_alpha 90.00
_cell_angle_beta 90.00
_cell_angle_gamma 120.00
loop_
_atom_site_label
_atom_site_type_symbol
_atom_site_fract_x
_atom_site_fract_y
_atom_site_fract_z
Pa1 Pa 0.0000 0.0000 0.2393
Ta1 Ta 0.0000 0.0000 0.0000
S1 S 0.0000 0.0000 0.5000

[3]
# Rh2NO, relaxed, DFT GGA-PBE
# M_tot: 0.00 μB/f.u.
# D(E_F): 0.83 states/eV/atom
# Uncorrected formation energy: 50 kJ/mol of formula units
# Theoretical density: 7.57 g cm⁻³
data_Rh2NO
_space_group_name_H-M_alt 'I -4 2 d'
_space_group_IT_number 122
_space_group_name_Hall 'I -4 2bw'
_cell_length_a 4.6691
_cell_length_b 4.6691
_cell_length_c 9.4854
_cell_angle_alpha 90.00
_cell_angle_beta 90.00
_cell_angle_gamma 90.00
loop_
_atom_site_label
_atom_site_type_symbol
_atom_site_fract_x
_atom_site_fract_y
_atom_site_fract_z
Rh1 Rh 0.2083 0.2500 0.1250
N1 N 0.0000 0.0000 0.0000
O1 O 0.0000 0.0000 0.5000

[4]
# NaPu2TlO8, relaxed, DFT GGA-PBE
# M_tot: 4.00 μB/f.u.
# D(E_F): 0.32 states/eV/atom
# Uncorrected formation energy: -1957 kJ/mol of formula units
# Theoretical density: 6.71 g cm⁻³
data_NaPu2TlO8
_space_group_name_H-M_alt 'P -3'
_space_group_IT_number 147
_cell_length_a 6.0883
_cell_length_b 6.0883
_cell_length_c 6.5017
_cell_angle_alpha 90.00
_cell_angle_beta 90.00
_cell_angle_gamma 120.00
loop_
_space_group_symop_operation_xyz
'x,y,z'
'-x,-y,-z'
'-y,x-y,z'
'y,-x+y,-z'
'-x+y,-x,z'
'x-y,x,-z'
loop_
_atom_site_label
_atom_site_type_symbol
_atom_site_fract_x
_atom_site_fract_y
_atom_site_fract_z
Na1 Na 0.0000 0.0000 0.0000
Pu1 Pu 0.3333 0.6667 0.4347
Tl1 Tl 0.0000 0.0000 0.5000
O1 O 0.0568 0.3730 0.6366
O2 O 0.3333 0.6667 0.1488

[5]
# TiZn6Au, relaxed, DFT GGA-PBE
# Raw total energy: -2.50 eV/atom
# M_tot: 0.00 μB/f.u.
# D(E_F): 0.46 states/eV/atom
# Theoretical density: 8.66 g cm⁻³
data_TiZn6Au
_space_group_name_H-M_alt 'P 4/m m m'
_space_group_IT_number 123
_space_group_name_Hall '-P 4 2'
_cell_length_a 4.1181
_cell_length_b 4.1181
_cell_length_c 7.2025
_cell_angle_alpha 90.00
_cell_angle_beta 90.00
_cell_angle_gamma 90.00
loop_
_atom_site_label
_atom_site_type_symbol
_atom_site_fract_x
_atom_site_fract_y
_atom_site_fract_z
Ti1 Ti 0.0000 0.0000 0.0000
Zn1 Zn 0.0000 0.5000 0.2481
Zn2 Zn 0.5000 0.5000 0.0000
Zn3 Zn 0.5000 0.5000 0.5000
Au1 Au 0.0000 0.0000 0.5000

[6]
# VSe2Br, relaxed, DFT GGA-PBE
# M_tot: 0.00 μB/f.u.
# D(E_F): 0.51 states/eV/atom
# Uncorrected formation energy: -149 kJ/mol of formula units
# Theoretical density: 5.35 g cm⁻³
data_VSe2Br
_space_group_name_H-M_alt 'R -3 m'
_space_group_IT_number 166
_space_group_name_Hall '-R 3 2"'
_cell_length_a 3.5357
_cell_length_b 3.5357
_cell_length_c 24.8293
_cell_angle_alpha 90.00
_cell_angle_beta 90.00
_cell_angle_gamma 120.00
loop_
_atom_site_label
_atom_site_type_symbol
_atom_site_fract_x
_atom_site_fract_y
_atom_site_fract_z
V1 V 0.0000 0.0000 0.0000
Se1 Se 0.0000 0.0000 0.3924
Br1 Br 0.0000 0.0000 0.5000